An optimized crystal structure of Ca2InW. Source: the Alexandria database, functional PBE.

The structure in CIF format:
```
data_Ca2InW
_chemical_formula_sum 'Ca2 In1 W1'
_cell_length_a 5.888
_cell_length_b 5.888
_cell_length_c 3.063
_cell_angle_alpha 89.96
_cell_angle_beta 89.96
_cell_angle_gamma 115.58
_space_group_name_H-M_alt 'P 1'
_space_group_IT_number 1
_space_group_name_Hall 'P 1'
loop_
_atom_site_label
_atom_site_type_symbol
_atom_site_fract_x
_atom_site_fract_y
_atom_site_fract_z
_atom_site_occupancy
Ca1 Ca 0.500 0.500 0.000 1
In1 In 0.500 0.000 0.500 1
W1 W 0.000 0.500 0.500 1
Ca2 Ca 0.000 0.000 0.000 1
```

- E (eV/atom) = -4.3324
- crystal system = orthorhombic
- DFT formation energy (eV/atom) = 0.591